Record 1
This record from the Alexandria database describes a relaxed structure of KPbW. The functional is PBE.

Unit cell a=8.686 b=8.521 c=3.055 alpha=82.85 beta=76.73 gamma=20.42
Sites, in units of the cell vectors:
K  0.005  0.005  0.995
Pb  0.317  0.317  0.683
W  0.679  0.679  0.321

Computed properties:
E above lowest polymorph: 0.00 eV per formula unit
ΔE_f: 1026 meV/atom
Space group: Fmm2
Crystal system: orthorhombic

---

Record 2
This record from the Alexandria database describes a relaxed structure of AcDyEr2Se4. The functional is PBE.

Unit cell a=4.069 b=7.427 c=7.108 alpha=71.64 beta=90.00 gamma=90.00
Sites, in units of the cell vectors:
Ac  0.500  0.500  0.000
Dy  0.000  0.500  0.500
Er  0.000  0.000  0.000
Er  0.500  0.000  0.500
Se  0.000  0.774  0.731
Se  0.000  0.226  0.269
Se  0.500  0.764  0.256
Se  0.500  0.236  0.744

Computed properties:
ΔE_f (raw): -1718.3 meV per atom
Space group: P2/m
Crystal system: monoclinic

---

For each record above, in turn, the calculated E_tot values are -14.68, -45.52 eV for the cell shown.